No. 1
DFT (PBE) results for crystalline YErAgPd at its relaxed geometry.

## Properties
Raw total energy = -0.1978 Ha/atom
Magnetization = 0.00 μB per cell
Offset from the most stable computed form = 0.0 kJ/mol of atoms
Formation energy = -0.6145 eV per atom
Symmetry = No. 99

The structure in extended XYZ format:
```
4
Lattice="-2.181 -0.576 -2.740 2.795 -0.252 -2.172 0.320 -7.074 1.232" Properties=species:S:1:pos:R:3 pbc="T T T"
Y 0.344 -1.236 -2.313
Er 0.498 -4.631 -1.722
Ag 0.272 -6.016 1.047
Pd 0.117 -2.584 0.450
```

***

No. 2
DFT (PBE) results for crystalline TlIn2Br at its relaxed geometry.

## Properties
Raw total energy = -0.0940 Ha/atom
Magnetization = 0.00 μB per cell
Offset from the most stable computed form = 7.3 kJ/mol of atoms
Symmetry = No. 47

The structure in extended XYZ format:
```
4
Lattice="3.656 0.000 0.000 0.000 5.125 0.000 0.000 0.000 6.490" Properties=species:S:1:pos:R:3 pbc="T T T"
Tl 1.828 2.562 1.622
Br 1.828 2.562 4.867
In 0.000 0.000 6.452
In 0.000 0.000 3.283
```

***

No. 3
DFT (PBE) results for crystalline Sr4LiNd3Se8 at its relaxed geometry.

## Properties
Raw total energy = -0.1861 Ha/atom
Magnetization = 0.00 μB per cell
Symmetry = No. 166

The structure in extended XYZ format:
```
16
Lattice="-2.052 3.224 7.708 -8.404 -0.462 -2.044 4.924 -7.034 -0.548" Properties=species:S:1:pos:R:3 pbc="T T T"
Sr -1.026 1.612 3.854
Sr 1.436 -1.905 3.580
Sr 0.000 0.000 0.000
Sr 2.462 -3.517 -0.274
Li -4.202 -0.231 -1.022
Nd -5.228 1.381 2.832
Nd -2.766 -2.136 2.558
Nd -1.740 -3.748 -1.296
Se -1.803 -6.527 -0.165
Se -4.280 -2.990 0.112
Se -0.208 -2.866 1.144
Se -2.835 -4.905 3.713
Se -2.697 0.634 1.403
Se -5.324 -1.406 3.972
Se -1.252 -1.282 5.004
Se -3.729 2.256 5.281
```

***

No. 4
DFT (PBE) results for crystalline FeCoRu2 at its relaxed geometry.

## Properties
Raw total energy = -0.3061 Ha/atom
Magnetization = 4.70 μB per cell
Offset from the most stable computed form = 8.2 kJ/mol of atoms
Formation energy = 0.1995 eV per atom
Symmetry = No. 44

The structure in extended XYZ format:
```
4
Lattice="4.898 0.005 0.005 2.224 4.364 -0.005 -3.095 -2.943 2.397" Properties=species:S:1:pos:R:3 pbc="T T T"
Co 3.435 2.107 0.000
Fe 1.428 1.854 1.196
Ru 0.094 0.058 0.000
Ru 2.629 -0.409 1.201
```

***

No. 5
DFT (PBE) results for crystalline Ba8AgPt3Br4 at its relaxed geometry.

## Properties
Raw total energy = -0.1425 Ha/atom
Magnetization = 0.00 μB per cell
Symmetry = No. 166

The structure in extended XYZ format:
```
16
Lattice="9.208 0.000 0.000 0.000 9.921 0.495 -4.604 -4.600 6.512" Properties=species:S:1:pos:R:3 pbc="T T T"
Ba -2.215 2.641 6.682
Ba 0.000 4.853 3.548
Ba 0.000 0.444 3.565
Ba 2.215 2.641 6.682
Ba 2.389 2.681 0.325
Ba 4.604 4.878 3.442
Ba 4.604 0.469 3.459
Ba 6.819 2.681 0.325
Ag 0.000 4.961 0.248
Pt 4.604 4.961 0.248
Pt 2.302 2.661 3.503
Pt -2.302 2.661 3.503
Br 4.604 0.000 0.000
Br 2.302 -2.300 3.256
Br 0.000 0.000 0.000
Br -2.302 -2.300 3.256
```

***

No. 6
DFT (PBE) results for crystalline Rb5Na12Cd2 at its relaxed geometry.

## Properties
Raw total energy = -0.0424 Ha/atom
Magnetization = 0.00 μB per cell
Formation energy = 0.0294 eV per atom
Symmetry = No. 12

The structure in extended XYZ format:
```
19
Lattice="9.309 0.167 0.329 -0.317 8.664 4.565 -0.401 -0.218 10.902" Properties=species:S:1:pos:R:3 pbc="T T T"
Rb 4.590 6.568 8.883
Rb -0.338 6.004 9.611
Rb 4.655 0.083 0.165
Rb 8.929 2.608 6.185
Rb 4.001 2.044 6.913
Na 0.543 0.461 9.678
Na 6.962 2.612 10.064
Na 6.766 7.961 12.882
Na 2.387 3.342 10.797
Na 2.264 6.684 12.558
Na 5.688 4.712 12.482
Na 2.903 3.900 3.314
Na 6.205 5.271 4.999
Na 6.327 1.928 3.238
Na 1.629 6.001 5.732
Na 1.825 0.651 2.913
Na 8.048 8.152 6.117
Cd -0.208 5.675 2.990
Cd -0.109 2.988 1.574
```

***

No. 7
DFT (PBE) results for crystalline CoHgP2 at its relaxed geometry.

## Properties
Raw total energy = -0.1720 Ha/atom
Magnetization = 0.00 μB per cell
Formation energy = -0.1225 eV per atom
Symmetry = No. 12

The structure in extended XYZ format:
```
4
Lattice="-0.328 1.352 -3.370 -0.649 -1.905 -3.040 -6.455 0.987 3.465" Properties=species:S:1:pos:R:3 pbc="T T T"
Co -1.858 0.108 -0.736
Hg -5.574 0.325 -2.209
P -1.630 -0.375 -5.278
P -3.063 0.038 -2.605
```

***

No. 8
DFT (PBE) results for crystalline Sm2ThCd3 at its relaxed geometry.

## Properties
Raw total energy = -0.1283 Ha/atom
Magnetization = 0.47 μB per cell
Formation energy = -0.2248 eV per atom
Symmetry = No. 123

The structure in extended XYZ format:
```
6
Lattice="3.801 0.000 0.000 0.000 3.801 0.000 0.000 0.000 11.582" Properties=species:S:1:pos:R:3 pbc="T T T"
Sm 1.901 1.901 9.663
Sm 1.901 1.901 1.919
Th 1.901 1.901 5.791
Cd 0.000 0.000 0.000
Cd 0.000 0.000 7.802
Cd 0.000 0.000 3.780
```

***

No. 9
DFT (PBE) results for crystalline Er2Mo3Os at its relaxed geometry.

## Properties
Raw total energy = -0.3274 Ha/atom
Magnetization = 0.00 μB per cell
Formation energy = -0.1015 eV per atom
Symmetry = No. 12

The structure in extended XYZ format:
```
6
Lattice="0.362 -3.213 -4.376 -3.601 -1.125 3.921 -2.104 5.025 -0.488" Properties=species:S:1:pos:R:3 pbc="T T T"
Er -1.330 -2.214 -1.863
Er -4.014 2.900 0.920
Mo -2.672 0.343 -0.471
Mo -1.052 2.512 -0.244
Mo -0.871 0.906 -2.432
Os 0.000 0.000 0.000
```

***

No. 10
DFT (PBE) results for crystalline MgAlCd2 at its relaxed geometry.

## Properties
Raw total energy = -0.0635 Ha/atom
Magnetization = 0.00 μB per cell
Formation energy = 0.0628 eV per atom
Symmetry = No. 123

The structure in extended XYZ format:
```
4
Lattice="3.485 0.000 0.000 0.000 3.485 0.000 0.000 0.000 6.976" Properties=species:S:1:pos:R:3 pbc="T T T"
Mg 1.743 1.743 3.488
Al 1.743 1.743 0.000
Cd 0.000 0.000 5.308
Cd 0.000 0.000 1.668
```

***

No. 11
DFT (PBE) results for crystalline CsSc2Ir at its relaxed geometry.

## Properties
Raw total energy = -0.1796 Ha/atom
Magnetization = 0.00 μB per cell
Offset from the most stable computed form = 83.1 kJ/mol of atoms
Formation energy = 0.7062 eV per atom
Symmetry = No. 166

The structure in extended XYZ format:
```
4
Lattice="1.887 0.000 11.721 -0.943 1.634 11.721 -0.943 -1.634 11.721" Properties=species:S:1:pos:R:3 pbc="T T T"
Cs 0.000 0.000 17.582
Sc 0.000 0.000 32.754
Sc 0.000 0.000 2.410
Ir 0.000 0.000 0.000
```

***

No. 12
DFT (PBE) results for crystalline NaPmSn2 at its relaxed geometry.

## Properties
Raw total energy = -0.1447 Ha/atom
Magnetization = 0.00 μB per cell
Formation energy = -0.4181 eV per atom
Symmetry = No. 123

The structure in extended XYZ format:
```
4
Lattice="3.661 0.000 0.000 0.000 5.509 0.000 0.000 0.000 5.509" Properties=species:S:1:pos:R:3 pbc="T T T"
Na 1.831 0.000 0.000
Sn 0.000 0.000 2.754
Sn 0.000 2.754 0.000
Pm 1.831 2.754 2.754
```

***

What did the tenth record say?
DFT (PBE) results for crystalline MgAlCd2 at its relaxed geometry.

## Properties
Raw total energy = -0.0635 Ha/atom
Magnetization = 0.00 μB per cell
Formation energy = 0.0628 eV per atom
Symmetry = No. 123

The structure in extended XYZ format:
```
4
Lattice="3.485 0.000 0.000 0.000 3.485 0.000 0.000 0.000 6.976" Properties=species:S:1:pos:R:3 pbc="T T T"
Mg 1.743 1.743 3.488
Al 1.743 1.743 0.000
Cd 0.000 0.000 5.308
Cd 0.000 0.000 1.668
```